Below is LiAgBRu2 after structural relaxation, with properties calculated at the GGA-PBE level.

Cell and atoms, written as extended XYZ:
```
5
Lattice="-0.3357 2.6586 -3.0867 -3.6918 -1.9828 -1.3063 -2.1855 2.4962 2.3877" Properties=species:S:1:pos:R:3 pbc="T T T"
Ru -1.0927 1.2481 1.1939
Ru -0.1679 1.3293 -1.5433
B 0.0000 0.0000 0.0000
Ag -1.8459 -0.9914 -0.6531
Li -3.1065 1.5860 -1.0026
```

Output
total DFT energy (no corrections) = -5.6522 eV per atom


Below is In2SiNi after structural relaxation, with properties calculated at the GGA-PBE level.

Cell and atoms, written as extended XYZ:
```
4
Lattice="3.0674 0.0000 0.0000 0.0000 2.8926 0.6392 0.0000 4.0209 9.3611" Properties=species:S:1:pos:R:3 pbc="T T T"
In 0.0000 0.6505 0.5218
In 0.0000 2.8062 4.4783
Ni 1.5337 1.7284 2.5001
Si 1.5337 5.1851 7.5002
```

Output
formation energy without anion corrections = 0.176 eV per atom
total DFT energy (no corrections) = -3.9938 eV per atom


Q: Look up the total DFT energy (no corrections) of the first one.
A: -5.6522 eV per atom